[1]
Nd6ZnOs2Cl3 | PBE-GGA | optimized geometry

**Raw formation energy**: -79.5 kJ/mol of atoms
**Electronic total energy**: -5.647 eV per atom
**Fermi-level density of states**: 5.91 states/eV/cell

a b c (Å): 7.1747 7.1747 7.9655
angles (deg): 98.51 98.51 120.22
Positions (direct):
Nd  0.0743  0.4320  0.7904
Nd  0.2128  0.2128  0.2120
Nd  0.4320  0.0743  0.7904
Nd  0.5680  0.9257  0.2096
Nd  0.7872  0.7872  0.7880
Nd  0.9257  0.5680  0.2096
Zn  0.5000  0.5000  0.0000
Os  0.1655  0.8345  0.0000
Os  0.8345  0.1655  0.0000
Cl  0.0000  0.0000  0.5000
Cl  0.3276  0.6724  0.5000
Cl  0.6724  0.3276  0.5000



[2]
Nd3PCl3 | PBE-GGA | optimized geometry

**Raw formation energy**: -173.5 kJ/mol of atoms
**Electronic total energy**: -5.405 eV per atom
**Fermi-level density of states**: 4.44 states/eV/cell

a b c (Å): 11.1186 11.1186 11.1186
angles (deg): 37.00 37.00 37.00
Positions (direct):
Nd  0.1077  0.4483  0.7889
Nd  0.2111  0.8923  0.5517
Nd  0.4483  0.7889  0.1077
Nd  0.5517  0.2111  0.8923
Nd  0.7889  0.1077  0.4483
Nd  0.8923  0.5517  0.2111
P  0.1667  0.1667  0.1667
P  0.8333  0.8333  0.8333
Cl  0.0632  0.7250  0.3940
Cl  0.2750  0.6060  0.9368
Cl  0.3940  0.0632  0.7250
Cl  0.6060  0.9368  0.2750
Cl  0.7250  0.3940  0.0632
Cl  0.9368  0.2750  0.6060



[3]
Nd8P6Cl | PBE-GGA | optimized geometry

**Raw formation energy**: -123.0 kJ/mol of atoms
**Electronic total energy**: -6.104 eV per atom
**Fermi-level density of states**: 10.48 states/eV/cell

a b c (Å): 10.9852 10.9852 4.2736
angles (deg): 90.00 90.00 120.00
Positions (direct):
Nd  0.0363  0.3670  0.2548
Nd  0.3306  0.9637  0.2548
Nd  0.3333  0.6667  0.7476
Nd  0.3670  0.3306  0.7452
Nd  0.6330  0.6694  0.2548
Nd  0.6667  0.3333  0.2524
Nd  0.6694  0.0363  0.7452
Nd  0.9637  0.6330  0.7452
P  0.1412  0.6646  0.2461
P  0.3354  0.4766  0.2461
P  0.4766  0.1412  0.7539
P  0.5234  0.8588  0.2461
P  0.6646  0.5234  0.7539
P  0.8588  0.3354  0.7539
Cl  0.0000  0.0000  0.5000



[4]
Nd2PCl3 | PBE-GGA | optimized geometry

**Raw formation energy**: -184.6 kJ/mol of atoms
**Electronic total energy**: -5.328 eV per atom
**Fermi-level density of states**: 0.00 states/eV/cell

a b c (Å): 8.6340 8.6340 12.6863
angles (deg): 122.31 122.31 29.45
Positions (direct):
Nd  0.1086  0.1086  0.4565
Nd  0.3621  0.3621  0.1779
Nd  0.6379  0.6379  0.8221
Nd  0.8914  0.8914  0.5435
P  0.0931  0.0931  0.6660
P  0.9069  0.9069  0.3340
Cl  0.1608  0.1608  0.0028
Cl  0.2645  0.2645  0.4035
Cl  0.4410  0.4410  0.7248
Cl  0.5590  0.5590  0.2752
Cl  0.7355  0.7355  0.5965
Cl  0.8392  0.8392  0.9972



[5]
Nd2PCl | PBE-GGA | optimized geometry

**Raw formation energy**: -153.1 kJ/mol of atoms
**Electronic total energy**: -5.784 eV per atom
**Fermi-level density of states**: 1.26 states/eV/cell

a b c (Å): 7.6694 7.6694 7.6694
angles (deg): 30.66 30.66 30.66
Positions (direct):
Nd  0.0000  0.0000  0.0000
Nd  0.1920  0.1920  0.1920
P  0.5948  0.5948  0.5948
Cl  0.7641  0.7641  0.7641



[6]
Nd3P2Cl | PBE-GGA | optimized geometry

**Raw formation energy**: -120.3 kJ/mol of atoms
**Electronic total energy**: -5.741 eV per atom
**Fermi-level density of states**: 7.50 states/eV/cell

a b c (Å): 8.0603 8.0603 11.5183
angles (deg): 90.00 90.00 150.16
Positions (direct):
Nd  0.0084  0.9916  0.7500
Nd  0.3741  0.6259  0.0084
Nd  0.3741  0.6259  0.4916
Nd  0.6259  0.3741  0.5084
Nd  0.6259  0.3741  0.9916
Nd  0.9916  0.0084  0.2500
P  0.0000  0.0000  0.0000
P  0.0000  0.0000  0.5000
P  0.3660  0.6340  0.2500
P  0.6340  0.3660  0.7500
Cl  0.3678  0.6322  0.7500
Cl  0.6322  0.3678  0.2500



[7]
Nd2PCl2 | PBE-GGA | optimized geometry

**Raw formation energy**: -188.2 kJ/mol of atoms
**Electronic total energy**: -5.678 eV per atom
**Fermi-level density of states**: 1.85 states/eV/cell

a b c (Å): 4.1148 4.1148 11.0283
angles (deg): 101.88 101.88 60.00
Positions (direct):
Nd  0.2220  0.2220  0.1505
Nd  0.7780  0.7780  0.8495
P  0.5000  0.5000  0.0000
Cl  0.0536  0.0536  0.6929
Cl  0.9464  0.9464  0.3071



[8]
Nd6P5Cl | PBE-GGA | optimized geometry

**Raw formation energy**: -156.5 kJ/mol of atoms
**Electronic total energy**: -6.414 eV per atom
**Fermi-level density of states**: 2.63 states/eV/cell

a b c (Å): 7.2180 7.2180 7.2011
angles (deg): 99.64 99.64 119.92
Positions (direct):
Nd  0.0661  0.4141  0.7428
Nd  0.2384  0.2384  0.2589
Nd  0.4141  0.0661  0.7428
Nd  0.5859  0.9339  0.2572
Nd  0.7616  0.7616  0.7411
Nd  0.9339  0.5859  0.2572
P  0.0000  0.0000  0.5000
P  0.1671  0.8329  0.0000
P  0.3364  0.6636  0.5000
P  0.6636  0.3364  0.5000
P  0.8329  0.1671  0.0000
Cl  0.5000  0.5000  0.0000



[9]
Nd2PCl2 | PBE-GGA | optimized geometry

**Raw formation energy**: -188.2 kJ/mol of atoms
**Electronic total energy**: -5.678 eV per atom
**Fermi-level density of states**: 1.87 states/eV/cell

a b c (Å): 10.4460 10.4460 10.4460
angles (deg): 22.73 22.73 22.73
Positions (direct):
Nd  0.1138  0.1138  0.1138
Nd  0.8862  0.8862  0.8862
P  0.5000  0.5000  0.5000
Cl  0.2745  0.2745  0.2745
Cl  0.7255  0.7255  0.7255



[10]
Nd3PPbCl | PBE-GGA | optimized geometry

**Raw formation energy**: -115.4 kJ/mol of atoms
**Electronic total energy**: -5.408 eV per atom
**Fermi-level density of states**: 6.13 states/eV/cell

a b c (Å): 7.4126 4.1921 11.4232
angles (deg): 90.00 101.92 90.00
Positions (direct):
Nd  0.0408  0.2500  0.1429
Nd  0.2690  0.2500  0.5030
Nd  0.4516  0.7500  0.8505
Nd  0.5484  0.2500  0.1495
Nd  0.7310  0.7500  0.4970
Nd  0.9592  0.7500  0.8571
P  0.2346  0.2500  0.9433
P  0.7654  0.7500  0.0567
Pb  0.3454  0.7500  0.3058
Pb  0.6546  0.2500  0.6942
Cl  0.1242  0.7500  0.6365
Cl  0.8758  0.2500  0.3635



[11]
Nd4PPdCl2 | PBE-GGA | optimized geometry

**Raw formation energy**: -126.8 kJ/mol of atoms
**Electronic total energy**: -5.485 eV per atom
**Fermi-level density of states**: 5.17 states/eV/cell

a b c (Å): 7.2206 4.0671 7.4576
angles (deg): 90.00 108.01 90.00
Positions (direct):
Nd  0.2259  0.0000  0.2422
Nd  0.2287  0.5000  0.7319
Nd  0.7713  0.5000  0.2681
Nd  0.7741  0.0000  0.7578
P  0.0000  0.0000  0.5000
Pd  0.0000  0.5000  0.0000
Cl  0.5000  0.0000  0.0000
Cl  0.5000  0.5000  0.5000



[12]
Nd6P2PdCl3 | PBE-GGA | optimized geometry

**Raw formation energy**: -136.0 kJ/mol of atoms
**Electronic total energy**: -5.590 eV per atom
**Fermi-level density of states**: 7.13 states/eV/cell

a b c (Å): 9.4092 9.4092 8.5994
angles (deg): 102.67 102.67 24.99
Positions (direct):
Nd  0.0081  0.0081  0.2318
Nd  0.3260  0.3260  0.4371
Nd  0.3324  0.3324  0.8970
Nd  0.6676  0.6676  0.1030
Nd  0.6740  0.6740  0.5629
Nd  0.9919  0.9919  0.7682
P  0.1681  0.1681  0.3324
P  0.8319  0.8319  0.6676
Pd  0.5000  0.5000  0.0000
Cl  0.1635  0.1635  0.8239
Cl  0.5000  0.5000  0.5000
Cl  0.8365  0.8365  0.1761



[13]
PrNdPCl | PBE-GGA | optimized geometry

**Raw formation energy**: -153.4 kJ/mol of atoms
**Electronic total energy**: -5.791 eV per atom
**Fermi-level density of states**: 1.24 states/eV/cell

a b c (Å): 7.6968 7.6968 7.6968
angles (deg): 30.68 30.68 30.68
Positions (direct):
Pr  0.0000  0.0000  0.0000
Nd  0.1917  0.1917  0.1917
P  0.5938  0.5938  0.5938
Cl  0.7648  0.7648  0.7648



[14]
Nd8P3PtCl4 | PBE-GGA | optimized geometry

**Raw formation energy**: -145.5 kJ/mol of atoms
**Electronic total energy**: -5.746 eV per atom
**Fermi-level density of states**: 8.04 states/eV/cell

a b c (Å): 8.4114 8.4114 8.4114
angles (deg): 59.46 59.46 59.46
Positions (direct):
Nd  0.2395  0.2395  0.2395
Nd  0.2388  0.7416  0.7416
Nd  0.2584  0.2584  0.7612
Nd  0.2584  0.7612  0.2584
Nd  0.7416  0.2388  0.7416
Nd  0.7416  0.7416  0.2388
Nd  0.7612  0.2584  0.2584
Nd  0.7605  0.7605  0.7605
P  0.0000  0.0000  0.5000
P  0.0000  0.5000  0.0000
P  0.5000  0.0000  0.0000
Pt  0.5000  0.5000  0.5000
Cl  0.0000  0.0000  0.0000
Cl  0.0000  0.5000  0.5000
Cl  0.5000  0.0000  0.5000
Cl  0.5000  0.5000  0.0000



[15]
Nd4PPtCl2 | PBE-GGA | optimized geometry

**Raw formation energy**: -137.9 kJ/mol of atoms
**Electronic total energy**: -5.706 eV per atom
**Fermi-level density of states**: 5.56 states/eV/cell

a b c (Å): 7.2884 4.0864 7.4674
angles (deg): 90.00 108.25 90.00
Positions (direct):
Nd  0.2207  0.0000  0.2359
Nd  0.2254  0.5000  0.7340
Nd  0.7746  0.5000  0.2660
Nd  0.7793  0.0000  0.7641
P  0.0000  0.0000  0.5000
Pt  0.0000  0.5000  0.0000
Cl  0.5000  0.0000  0.0000
Cl  0.5000  0.5000  0.5000



[16]
Nd6P2RhCl3 | PBE-GGA | optimized geometry

**Raw formation energy**: -137.1 kJ/mol of atoms
**Electronic total energy**: -5.781 eV per atom
**Fermi-level density of states**: 6.82 states/eV/cell

a b c (Å): 9.4424 9.4424 8.6911
angles (deg): 103.51 103.51 24.76
Positions (direct):
Nd  0.0071  0.0071  0.2265
Nd  0.3254  0.3254  0.4360
Nd  0.3397  0.3397  0.8958
Nd  0.6603  0.6603  0.1042
Nd  0.6746  0.6746  0.5640
Nd  0.9929  0.9929  0.7735
P  0.1671  0.1671  0.3352
P  0.8329  0.8329  0.6648
Rh  0.5000  0.5000  0.0000
Cl  0.1692  0.1692  0.8293
Cl  0.5000  0.5000  0.5000
Cl  0.8308  0.8308  0.1707



[17]
Nd6PRh2Cl3 | PBE-GGA | optimized geometry

**Raw formation energy**: -121.3 kJ/mol of atoms
**Electronic total energy**: -5.778 eV per atom
**Fermi-level density of states**: 4.71 states/eV/cell

a b c (Å): 7.1853 7.1853 7.7223
angles (deg): 98.83 98.83 120.00
Positions (direct):
Nd  0.0888  0.4304  0.7912
Nd  0.2269  0.2269  0.2083
Nd  0.4304  0.0888  0.7912
Nd  0.5696  0.9112  0.2088
Nd  0.7731  0.7731  0.7917
Nd  0.9112  0.5696  0.2088
P  0.5000  0.5000  0.0000
Rh  0.1672  0.8328  0.0000
Rh  0.8328  0.1672  0.0000
Cl  0.0000  0.0000  0.5000
Cl  0.3399  0.6601  0.5000
Cl  0.6601  0.3399  0.5000



[18]
Nd8PRu3Cl4 | PBE-GGA | optimized geometry

**Raw formation energy**: -99.5 kJ/mol of atoms
**Electronic total energy**: -5.954 eV per atom
**Fermi-level density of states**: 9.06 states/eV/cell

a b c (Å): 8.8527 8.8527 8.8527
angles (deg): 55.46 55.46 55.46
Positions (direct):
Nd  0.2243  0.7389  0.7389
Nd  0.2381  0.2381  0.2381
Nd  0.2611  0.2611  0.7757
Nd  0.2611  0.7757  0.2611
Nd  0.7389  0.2243  0.7389
Nd  0.7389  0.7389  0.2243
Nd  0.7619  0.7619  0.7619
Nd  0.7757  0.2611  0.2611
P  0.5000  0.5000  0.5000
Ru  0.0000  0.0000  0.5000
Ru  0.0000  0.5000  0.0000
Ru  0.5000  0.0000  0.0000
Cl  0.0000  0.0000  0.0000
Cl  0.0000  0.5000  0.5000
Cl  0.5000  0.0000  0.5000
Cl  0.5000  0.5000  0.0000



[19]
Nd8P3S4Cl | PBE-GGA | optimized geometry

**Raw formation energy**: -176.5 kJ/mol of atoms
**Electronic total energy**: -6.375 eV per atom
**Fermi-level density of states**: 6.44 states/eV/cell

a b c (Å): 8.2128 8.2128 8.2128
angles (deg): 60.45 60.45 60.45
Positions (direct):
Nd  0.2325  0.7612  0.7612
Nd  0.2388  0.2388  0.7675
Nd  0.2388  0.7675  0.2388
Nd  0.2474  0.2474  0.2474
Nd  0.7526  0.7526  0.7526
Nd  0.7612  0.2325  0.7612
Nd  0.7612  0.7612  0.2325
Nd  0.7675  0.2388  0.2388
P  0.0000  0.0000  0.5000
P  0.0000  0.5000  0.0000
P  0.5000  0.0000  0.0000
S  0.0000  0.0000  0.0000
S  0.0000  0.5000  0.5000
S  0.5000  0.0000  0.5000
S  0.5000  0.5000  0.0000
Cl  0.5000  0.5000  0.5000



[20]
Nd6P2SCl3 | PBE-GGA | optimized geometry

**Raw formation energy**: -158.8 kJ/mol of atoms
**Electronic total energy**: -5.737 eV per atom
**Fermi-level density of states**: 4.78 states/eV/cell

a b c (Å): 9.3388 9.3388 8.3101
angles (deg): 104.34 104.34 25.78
Positions (direct):
Nd  0.0070  0.0070  0.2272
Nd  0.3254  0.3254  0.4355
Nd  0.3421  0.3421  0.8968
Nd  0.6579  0.6579  0.1032
Nd  0.6746  0.6746  0.5645
Nd  0.9930  0.9930  0.7728
P  0.1657  0.1657  0.3329
P  0.8343  0.8343  0.6671
S  0.5000  0.5000  0.0000
Cl  0.1694  0.1694  0.8356
Cl  0.5000  0.5000  0.5000
Cl  0.8306  0.8306  0.1644



[21]
Nd4PS2Cl | PBE-GGA | optimized geometry

**Raw formation energy**: -173.9 kJ/mol of atoms
**Electronic total energy**: -6.125 eV per atom
**Fermi-level density of states**: 2.78 states/eV/cell

a b c (Å): 7.0906 4.1192 7.1708
angles (deg): 90.00 109.49 90.00
Positions (direct):
Nd  0.2292  0.0000  0.2231
Nd  0.2443  0.5000  0.7678
Nd  0.7557  0.5000  0.2322
Nd  0.7708  0.0000  0.7769
P  0.5000  0.0000  0.0000
S  0.0000  0.0000  0.5000
S  0.0000  0.5000  0.0000
Cl  0.5000  0.5000  0.5000